Arrangement one

## SrMoPb2 (PBE)

Data for SrMoPb2 after structural relaxation.

Unit cell a=3.590 b=3.590 c=7.974 alpha=90.00 beta=90.00 gamma=90.00
Sites, in units of the cell vectors:
Sr  0.000  0.000  0.000
Mo  0.000  0.000  0.500
Pb  0.500  0.500  0.300
Pb  0.500  0.500  0.700

Summary:
DOS at the Fermi energy: 0.6426 states/eV per atom

Arrangement two

## SrMoPb2 (PBE)

Data for SrMoPb2 after structural relaxation.

Unit cell a=7.745 b=7.745 c=7.745 alpha=90.00 beta=90.00 gamma=90.00
Sites, in units of the cell vectors:
Sr  0.000  0.000  0.000
Sr  0.000  0.500  0.500
Sr  0.500  0.000  0.500
Sr  0.500  0.500  0.000
Mo  0.250  0.250  0.750
Mo  0.250  0.750  0.250
Mo  0.750  0.250  0.250
Mo  0.750  0.750  0.750
Pb  0.000  0.000  0.500
Pb  0.000  0.500  0.000
Pb  0.250  0.250  0.250
Pb  0.250  0.750  0.750
Pb  0.500  0.000  0.000
Pb  0.500  0.500  0.500
Pb  0.750  0.250  0.750
Pb  0.750  0.750  0.250

Summary:
DOS at the Fermi energy: 0.8098 states/eV per atom

Quick ranking, most stable first: arrangement one, arrangement two.

Arrangement one

## SrMoPb2 (PBE)

Data for SrMoPb2 after structural relaxation.

Unit cell a=6.766 b=9.145 c=3.507 alpha=90.00 beta=90.54 gamma=90.00
Sites, in units of the cell vectors:
Sr  0.000  0.000  0.000
Sr  0.500  0.500  0.000
Mo  0.000  0.500  0.000
Mo  0.500  0.000  0.000
Pb  0.250  0.250  0.500
Pb  0.250  0.750  0.500
Pb  0.750  0.250  0.500
Pb  0.750  0.750  0.500

Summary:
DOS at the Fermi energy: 0.6754 states/eV per atom

Arrangement two

## SrMoPb2 (PBE)

Data for SrMoPb2 after structural relaxation.

Unit cell a=3.459 b=4.484 c=14.995 alpha=90.00 beta=90.00 gamma=90.00
Sites, in units of the cell vectors:
Sr  0.000  0.000  0.000
Sr  0.500  0.500  0.500
Mo  0.000  0.500  0.706
Mo  0.500  0.000  0.206
Pb  0.000  0.000  0.362
Pb  0.000  0.500  0.183
Pb  0.500  0.000  0.683
Pb  0.500  0.500  0.862

Summary:
DOS at the Fermi energy: 0.9347 states/eV per atom

Arrangement three

## SrMoPb2 (PBE)

Data for SrMoPb2 after structural relaxation.

Unit cell a=4.578 b=4.578 c=10.501 alpha=90.00 beta=90.00 gamma=90.00
Sites, in units of the cell vectors:
Sr  0.000  0.000  0.000
Sr  0.500  0.500  0.500
Mo  0.000  0.500  0.750
Mo  0.500  0.000  0.250
Pb  0.000  0.000  0.500
Pb  0.000  0.500  0.250
Pb  0.500  0.000  0.750
Pb  0.500  0.500  0.000

Summary:
DOS at the Fermi energy: 0.9734 states/eV per atom

Arrangement four

## SrMoPb2 (PBE)

Data for SrMoPb2 after structural relaxation.

Unit cell a=3.468 b=3.468 c=32.285 alpha=90.00 beta=90.00 gamma=120.00
Sites, in units of the cell vectors:
Sr  0.000  0.000  0.000
Sr  0.333  0.667  0.667
Sr  0.667  0.333  0.333
Mo  0.000  0.000  0.256
Mo  0.333  0.667  0.923
Mo  0.667  0.333  0.589
Pb  0.000  0.000  0.523
Pb  0.000  0.000  0.763
Pb  0.333  0.667  0.189
Pb  0.333  0.667  0.430
Pb  0.667  0.333  0.097
Pb  0.667  0.333  0.856

Summary:
DOS at the Fermi energy: 0.7261 states/eV per atom

Quick ranking, most stable first: arrangement two, arrangement three, arrangement one, arrangement four.

Arrangement one

## SrMoPb2 (PBE)

Data for SrMoPb2 after structural relaxation.

Unit cell a=3.275 b=3.275 c=10.285 alpha=90.00 beta=90.00 gamma=90.00
Sites, in units of the cell vectors:
Sr  0.000  0.000  0.000
Mo  0.500  0.500  0.236
Pb  0.000  0.000  0.428
Pb  0.500  0.500  0.714

Summary:
DOS at the Fermi energy: 1.2331 states/eV per atom

Arrangement two

## SrMoPb2 (PBE)

Data for SrMoPb2 after structural relaxation.

Unit cell a=9.427 b=3.928 c=6.281 alpha=90.00 beta=107.13 gamma=90.00
Sites, in units of the cell vectors:
Sr  0.000  0.000  0.000
Sr  0.500  0.500  0.000
Mo  0.000  0.500  0.500
Mo  0.500  0.000  0.500
Pb  0.229  0.000  0.682
Pb  0.271  0.500  0.318
Pb  0.729  0.500  0.682
Pb  0.771  0.000  0.318

Summary:
DOS at the Fermi energy: 0.6034 states/eV per atom

Quick ranking, most stable first: arrangement two, arrangement one.

Arrangement one

## SrMoPb2 (PBE)

Data for SrMoPb2 after structural relaxation.

Unit cell a=5.657 b=5.657 c=18.249 alpha=90.00 beta=90.00 gamma=90.00
Sites, in units of the cell vectors:
Sr  0.000  0.000  0.000
Sr  0.000  0.500  0.250
Sr  0.500  0.000  0.750
Sr  0.500  0.500  0.500
Mo  0.000  0.000  0.500
Mo  0.000  0.500  0.750
Mo  0.500  0.000  0.250
Mo  0.500  0.500  0.000
Pb  0.113  0.250  0.625
Pb  0.250  0.613  0.875
Pb  0.250  0.887  0.375
Pb  0.387  0.250  0.125
Pb  0.613  0.750  0.125
Pb  0.750  0.113  0.375
Pb  0.750  0.387  0.875
Pb  0.887  0.750  0.625

Summary:
DOS at the Fermi energy: 0.5137 states/eV per atom

Arrangement two

## SrMoPb2 (PBE)

Data for SrMoPb2 after structural relaxation.

Unit cell a=3.621 b=5.569 c=5.715 alpha=90.00 beta=91.12 gamma=90.00
Sites, in units of the cell vectors:
Sr  0.000  0.000  0.000
Mo  0.561  0.500  0.327
Pb  0.488  0.500  0.836
Pb  0.498  0.000  0.480

Summary:
DOS at the Fermi energy: 0.6210 states/eV per atom

Arrangement three

## SrMoPb2 (PBE)

Data for SrMoPb2 after structural relaxation.

Unit cell a=3.780 b=3.780 c=7.985 alpha=90.00 beta=90.00 gamma=90.00
Sites, in units of the cell vectors:
Sr  0.000  0.000  0.000
Mo  0.500  0.500  0.308
Pb  0.000  0.000  0.416
Pb  0.500  0.500  0.687

Summary:
DOS at the Fermi energy: 0.8664 states/eV per atom

Quick ranking, most stable first: arrangement three, arrangement two, arrangement one.

Arrangement one

## SrMoPb2 (PBE)

Data for SrMoPb2 after structural relaxation.

Unit cell a=4.201 b=5.102 c=10.290 alpha=90.00 beta=90.00 gamma=90.00
Sites, in units of the cell vectors:
Sr  0.000  0.000  0.000
Sr  0.500  0.500  0.000
Mo  0.000  0.500  0.764
Mo  0.500  0.000  0.764
Pb  0.000  0.000  0.570
Pb  0.000  0.500  0.289
Pb  0.500  0.000  0.289
Pb  0.500  0.500  0.570

Summary:
DOS at the Fermi energy: 1.0680 states/eV per atom

Arrangement two

## SrMoPb2 (PBE)

Data for SrMoPb2 after structural relaxation.

Unit cell a=7.497 b=7.497 c=7.497 alpha=90.00 beta=90.00 gamma=90.00
Sites, in units of the cell vectors:
Sr  0.000  0.000  0.000
Sr  0.000  0.500  0.500
Sr  0.500  0.000  0.500
Sr  0.500  0.500  0.000
Mo  0.000  0.000  0.500
Mo  0.000  0.500  0.000
Mo  0.500  0.000  0.000
Mo  0.500  0.500  0.500
Pb  0.250  0.250  0.250
Pb  0.250  0.250  0.750
Pb  0.250  0.750  0.250
Pb  0.250  0.750  0.750
Pb  0.750  0.250  0.250
Pb  0.750  0.250  0.750
Pb  0.750  0.750  0.250
Pb  0.750  0.750  0.750

Summary:
DOS at the Fermi energy: 1.2549 states/eV per atom

Quick ranking, most stable first: arrangement two, arrangement one.

Arrangement one

## SrMoPb2 (PBE)

Data for SrMoPb2 after structural relaxation.

Unit cell a=3.801 b=3.801 c=26.884 alpha=90.00 beta=90.00 gamma=120.00
Sites, in units of the cell vectors:
Sr  0.000  0.000  0.000
Sr  0.333  0.667  0.667
Sr  0.667  0.333  0.333
Mo  0.000  0.000  0.500
Mo  0.333  0.667  0.167
Mo  0.667  0.333  0.833
Pb  0.000  0.000  0.236
Pb  0.000  0.000  0.764
Pb  0.333  0.667  0.430
Pb  0.333  0.667  0.903
Pb  0.667  0.333  0.097
Pb  0.667  0.333  0.570

Summary:
DOS at the Fermi energy: 0.7892 states/eV per atom

Arrangement two

## SrMoPb2 (PBE)

Data for SrMoPb2 after structural relaxation.

Unit cell a=3.838 b=5.920 c=9.851 alpha=90.00 beta=90.00 gamma=90.00
Sites, in units of the cell vectors:
Sr  0.000  0.000  0.000
Sr  0.500  0.500  0.500
Mo  0.000  0.000  0.500
Mo  0.500  0.500  0.000
Pb  0.000  0.500  0.219
Pb  0.000  0.500  0.781
Pb  0.500  0.000  0.281
Pb  0.500  0.000  0.719

Summary:
DOS at the Fermi energy: 0.8547 states/eV per atom

Arrangement three

## SrMoPb2 (PBE)

Data for SrMoPb2 after structural relaxation.

Unit cell a=4.895 b=4.895 c=4.702 alpha=90.00 beta=90.00 gamma=90.00
Sites, in units of the cell vectors:
Sr  0.000  0.000  0.000
Mo  0.500  0.500  0.000
Pb  0.000  0.500  0.500
Pb  0.500  0.000  0.500

Summary:
DOS at the Fermi energy: 0.4920 states/eV per atom

Quick ranking, most stable first: arrangement one, arrangement two, arrangement three.